VASP calculation (PBE) on an optimized crystal structure of DyFe3Co.

Output
DOS at the Fermi energy (states/eV/atom): 1.50
DFT total energy (eV per atom): -7.210
Calculated formation energy (eV/f.u.): 1.04
Size of the total moment (μB/f.u.): 4.8
Symmetry: No. 38

Lattice parameters (Å, degrees): 3.5591 4.9625 4.9625 120.80 90.00 90.00
With the nearest neighbours (Å) after each atom.
Fractional positions:
Dy 0.0000 0.5907 0.4093  11 Fe 2.84-3.08, 4 Co 3.03
Fe 0.5000 0.0853 0.3884  4 Fe 2.32-2.58, 1 Co 2.34
Fe 0.5000 0.6116 0.9147  4 Fe 2.32-2.58, 1 Co 2.34
Fe 0.0000 0.2564 0.7436  2 Co 2.32, 4 Fe 2.34
Co 0.5000 0.0840 0.9160  4 Fe 2.32-2.34